Record 1
16
Lattice="7.4155 0.0000 0.0000 0.0000 7.4155 0.0000 0.0000 0.0000 7.4155" Properties=species:S:1:pos:R:3 comment="CaEuSnPt, relaxed, DFT PBE-GGA" formation_energy_mev_per_atom=-668 magnetic_moment_mub_per_fu=6.932 spacegroup="F-43m (216)" pbc="T T T"
Ca 0.0000 0.0000 0.0000
Ca 0.0000 3.7077 3.7077
Ca 3.7077 0.0000 3.7077
Ca 3.7077 3.7077 0.0000
Eu 0.0000 0.0000 3.7077
Eu 0.0000 3.7077 0.0000
Eu 3.7077 0.0000 0.0000
Eu 3.7077 3.7077 3.7077
Sn 1.8539 1.8539 5.5616
Sn 1.8539 5.5616 1.8539
Sn 5.5616 1.8539 1.8539
Sn 5.5616 5.5616 5.5616
Pt 1.8539 1.8539 1.8539
Pt 1.8539 5.5616 5.5616
Pt 5.5616 1.8539 5.5616
Pt 5.5616 5.5616 1.8539

***

Record 2
16
Lattice="7.2223 0.0000 0.0000 0.0000 7.2223 0.0000 0.0000 0.0000 7.2223" Properties=species:S:1:pos:R:3 comment="CaEuZnPt, relaxed, DFT PBE-GGA" formation_energy_mev_per_atom=-578 magnetic_moment_mub_per_fu=7.119 spacegroup="F-43m (216)" pbc="T T T"
Ca 0.0000 0.0000 0.0000
Ca 0.0000 3.6111 3.6111
Ca 3.6111 0.0000 3.6111
Ca 3.6111 3.6111 0.0000
Eu 0.0000 0.0000 3.6111
Eu 0.0000 3.6111 0.0000
Eu 3.6111 0.0000 0.0000
Eu 3.6111 3.6111 3.6111
Zn 1.8056 1.8056 1.8056
Zn 1.8056 5.4167 5.4167
Zn 5.4167 1.8056 5.4167
Zn 5.4167 5.4167 1.8056
Pt 1.8056 1.8056 5.4167
Pt 1.8056 5.4167 1.8056
Pt 5.4167 1.8056 1.8056
Pt 5.4167 5.4167 5.4167

***

Record 3
4
Lattice="4.0171 0.0000 0.0000 0.0000 4.0171 0.0000 0.0000 0.0000 12.5530" Properties=species:S:1:pos:R:3 comment="RbCa2Eu, relaxed, DFT PBE-GGA" formation_energy_mev_per_atom=128 polymorph_energy_kj_per_mol_fu=0.0 magnetic_moment_mub_per_fu=7.542 spacegroup="P4/mmm (123)" pbc="T T T"
Rb 0.0000 0.0000 0.0000
Ca 2.0085 2.0085 3.5552
Ca 2.0085 2.0085 8.9978
Eu 0.0000 0.0000 6.2765

***

Record 4
4
Lattice="4.0699 0.0000 0.0000 0.0000 4.0699 0.0000 0.0000 0.0000 12.6532" Properties=species:S:1:pos:R:3 comment="RbCaEu2, relaxed, DFT PBE-GGA" formation_energy_mev_per_atom=146 polymorph_energy_kj_per_mol_fu=0.0 magnetic_moment_mub_per_fu=15.271 spacegroup="P4/mmm (123)" pbc="T T T"
Rb 0.0000 0.0000 0.0000
Ca 0.0000 0.0000 6.3266
Eu 2.0350 2.0350 3.6535
Eu 2.0350 2.0350 8.9997

***

Record 5
4
Lattice="6.8678 0.0000 0.0000 0.0000 6.8678 0.0000 0.0000 0.0000 4.2306" Properties=species:S:1:pos:R:3 comment="RbCa2Eu, relaxed, DFT PBE-GGA" formation_energy_mev_per_atom=213 polymorph_energy_kj_per_mol_fu=32.7 magnetic_moment_mub_per_fu=7.848 spacegroup="P4/mmm (123)" pbc="T T T"
Rb 0.0000 0.0000 0.0000
Ca 0.0000 3.4339 2.1153
Ca 3.4339 0.0000 2.1153
Eu 3.4339 3.4339 0.0000

***

Record 6
12
Lattice="4.0164 0.0000 0.0000 -2.0082 3.4783 0.0000 0.0000 0.0000 43.6919" Properties=species:S:1:pos:R:3 comment="RbCaEu2, relaxed, DFT PBE-GGA" formation_energy_mev_per_atom=158 polymorph_energy_kj_per_mol_fu=4.3 magnetic_moment_mub_per_fu=15.218 spacegroup="R-3m (166)" pbc="T T T"
Rb 0.0000 0.0000 0.0000
Rb 0.0000 2.3189 29.1280
Rb 2.0082 1.1594 14.5640
Ca 0.0000 0.0000 21.8460
Ca 0.0000 2.3189 7.2820
Ca 2.0082 1.1594 36.4099
Eu 0.0000 0.0000 4.0959
Eu 0.0000 0.0000 39.5960
Eu 0.0000 2.3189 25.0320
Eu 0.0000 2.3189 33.2239
Eu 2.0082 1.1594 10.4680
Eu 2.0082 1.1594 18.6599

***

Record 7
4
Lattice="3.6197 0.0000 0.0000 0.0000 3.6197 0.0000 0.0000 0.0000 9.5352" Properties=species:S:1:pos:R:3 comment="CaEu2Rh, relaxed, DFT PBE-GGA" formation_energy_mev_per_atom=-216 polymorph_energy_kj_per_mol_fu=0.0 magnetic_moment_mub_per_fu=14.504 spacegroup="P4/mmm (123)" pbc="T T T"
Ca 0.0000 0.0000 0.0000
Eu 1.8098 1.8098 3.0866
Eu 1.8098 1.8098 6.4486
Rh 0.0000 0.0000 4.7676

***

Record 8
12
Lattice="3.9663 0.0000 0.0000 -1.9831 3.4349 0.0000 0.0000 0.0000 32.1792" Properties=species:S:1:pos:R:3 comment="CaEu2Rh, relaxed, DFT PBE-GGA" formation_energy_mev_per_atom=-80 polymorph_energy_kj_per_mol_fu=52.3 magnetic_moment_mub_per_fu=14.239 spacegroup="R-3m (166)" pbc="T T T"
Ca 0.0000 0.0000 0.0000
Ca 0.0000 2.2899 21.4528
Ca 1.9831 1.1450 10.7264
Eu 0.0000 0.0000 3.6782
Eu 0.0000 0.0000 28.5010
Eu 0.0000 2.2899 17.7746
Eu 0.0000 2.2899 25.1310
Eu 1.9831 1.1450 7.0482
Eu 1.9831 1.1450 14.4046
Rh 0.0000 0.0000 16.0896
Rh 0.0000 2.2899 5.3632
Rh 1.9831 1.1450 26.8160

***

Record 9
6
Lattice="0.0000 3.8075 3.8075 3.8075 0.0000 3.8075 3.8075 3.8075 0.0000" Properties=species:S:1:pos:R:3 comment="CaEuRh4, relaxed, DFT PBE-GGA" formation_energy_mev_per_atom=-443 magnetic_moment_mub_per_fu=6.242 spacegroup="F-43m (216)" pbc="T T T"
Ca 0.0000 0.0000 0.0000
Eu 5.7112 5.7112 5.7112
Rh 2.8542 2.8542 2.8542
Rh 4.7608 4.7608 2.8542
Rh 4.7608 2.8542 4.7608
Rh 2.8542 4.7608 4.7608

***

Record 10
16
Lattice="7.1411 0.0000 0.0000 0.0000 7.1411 0.0000 0.0000 0.0000 7.1411" Properties=species:S:1:pos:R:3 comment="CaEuRhSe, relaxed, DFT PBE-GGA" formation_energy_uncorrected_kj_per_mol_atoms=-77.6 magnetic_moment_mub_per_fu=6.580 spacegroup="F-43m (216)" pbc="T T T"
Ca 0.0000 0.0000 0.0000
Ca 0.0000 3.5706 3.5706
Ca 3.5706 0.0000 3.5706
Ca 3.5706 3.5706 0.0000
Eu 0.0000 0.0000 3.5706
Eu 0.0000 3.5706 0.0000
Eu 3.5706 0.0000 0.0000
Eu 3.5706 3.5706 3.5706
Rh 1.7853 1.7853 1.7853
Rh 1.7853 5.3559 5.3559
Rh 5.3559 1.7853 5.3559
Rh 5.3559 5.3559 1.7853
Se 1.7853 1.7853 5.3559
Se 1.7853 5.3559 1.7853
Se 5.3559 1.7853 1.7853
Se 5.3559 5.3559 5.3559

***

Record 11
16
Lattice="7.3730 0.0000 0.0000 0.0000 7.3730 0.0000 0.0000 0.0000 7.3730" Properties=species:S:1:pos:R:3 comment="CaEuTeRh, relaxed, DFT PBE-GGA" formation_energy_uncorrected_kj_per_mol_atoms=-65.6 magnetic_moment_mub_per_fu=6.659 spacegroup="F-43m (216)" pbc="T T T"
Ca 0.0000 0.0000 0.0000
Ca 0.0000 3.6865 3.6865
Ca 3.6865 0.0000 3.6865
Ca 3.6865 3.6865 0.0000
Eu 0.0000 0.0000 3.6865
Eu 0.0000 3.6865 0.0000
Eu 3.6865 0.0000 0.0000
Eu 3.6865 3.6865 3.6865
Te 1.8433 1.8433 1.8433
Te 1.8433 5.5298 5.5298
Te 5.5298 1.8433 5.5298
Te 5.5298 5.5298 1.8433
Rh 1.8433 1.8433 5.5298
Rh 1.8433 5.5298 1.8433
Rh 5.5298 1.8433 1.8433
Rh 5.5298 5.5298 5.5298

***

Record 12
16
Lattice="7.3886 0.0000 0.0000 0.0000 7.3886 0.0000 0.0000 0.0000 7.3886" Properties=species:S:1:pos:R:3 comment="CaEuTlRh, relaxed, DFT PBE-GGA" formation_energy_mev_per_atom=-283 magnetic_moment_mub_per_fu=6.926 spacegroup="F-43m (216)" pbc="T T T"
Ca 0.0000 0.0000 0.0000
Ca 0.0000 3.6943 3.6943
Ca 3.6943 0.0000 3.6943
Ca 3.6943 3.6943 0.0000
Eu 0.0000 0.0000 3.6943
Eu 0.0000 3.6943 0.0000
Eu 3.6943 0.0000 0.0000
Eu 3.6943 3.6943 3.6943
Tl 1.8471 1.8471 1.8471
Tl 1.8471 5.5414 5.5414
Tl 5.5414 1.8471 5.5414
Tl 5.5414 5.5414 1.8471
Rh 1.8471 1.8471 5.5414
Rh 1.8471 5.5414 1.8471
Rh 5.5414 1.8471 1.8471
Rh 5.5414 5.5414 5.5414

***

Record 13
6
Lattice="3.4799 0.0000 0.0000 0.0000 3.4799 0.0000 0.0000 0.0000 13.4738" Properties=species:S:1:pos:R:3 comment="CaEuRu, relaxed, DFT PBE-GGA" formation_energy_mev_per_atom=139 magnetic_moment_mub_per_fu=6.913 spacegroup="I4mm (107)" pbc="T T T"
Ca 0.0000 0.0000 0.0000
Ca 1.7399 1.7399 6.7369
Eu 0.0000 0.0000 3.3756
Eu 1.7399 1.7399 10.1125
Ru 0.0000 0.0000 8.4486
Ru 1.7399 1.7399 1.7117

***

Record 14
4
Lattice="3.5560 0.0000 0.0000 0.0000 3.5560 0.0000 0.0000 0.0000 9.5759" Properties=species:S:1:pos:R:3 comment="CaEu2Ru, relaxed, DFT PBE-GGA" formation_energy_mev_per_atom=95 polymorph_energy_kj_per_mol_fu=0.0 magnetic_moment_mub_per_fu=14.068 spacegroup="P4/mmm (123)" pbc="T T T"
Ca 0.0000 0.0000 0.0000
Eu 1.7780 1.7780 3.0928
Eu 1.7780 1.7780 6.4831
Ru 0.0000 0.0000 4.7880

***

Record 15
12
Lattice="3.7110 0.0000 0.0000 -1.8555 3.2138 0.0000 0.0000 0.0000 33.2573" Properties=species:S:1:pos:R:3 comment="CaEu2Ru, relaxed, DFT PBE-GGA" formation_energy_mev_per_atom=293 polymorph_energy_kj_per_mol_fu=76.5 magnetic_moment_mub_per_fu=14.312 spacegroup="R-3m (166)" pbc="T T T"
Ca 0.0000 0.0000 0.0000
Ca 0.0000 2.1425 22.1716
Ca 1.8555 1.0713 11.0858
Eu 0.0000 0.0000 3.6239
Eu 0.0000 0.0000 29.6334
Eu 0.0000 2.1425 18.5476
Eu 0.0000 2.1425 25.7955
Eu 1.8555 1.0713 7.4619
Eu 1.8555 1.0713 14.7097
Ru 0.0000 0.0000 16.6287
Ru 0.0000 2.1425 5.5429
Ru 1.8555 1.0713 27.7144

***

Record 16
16
Lattice="7.1124 0.0000 0.0000 0.0000 7.1124 0.0000 0.0000 0.0000 7.1124" Properties=species:S:1:pos:R:3 comment="CaEuZnRu, relaxed, DFT PBE-GGA" formation_energy_mev_per_atom=60 magnetic_moment_mub_per_fu=6.833 spacegroup="F-43m (216)" pbc="T T T"
Ca 0.0000 0.0000 0.0000
Ca 0.0000 3.5562 3.5562
Ca 3.5562 0.0000 3.5562
Ca 3.5562 3.5562 0.0000
Eu 0.0000 0.0000 3.5562
Eu 0.0000 3.5562 0.0000
Eu 3.5562 0.0000 0.0000
Eu 3.5562 3.5562 3.5562
Zn 1.7781 1.7781 5.3343
Zn 1.7781 5.3343 1.7781
Zn 5.3343 1.7781 1.7781
Zn 5.3343 5.3343 5.3343
Ru 1.7781 1.7781 1.7781
Ru 1.7781 5.3343 5.3343
Ru 5.3343 1.7781 5.3343
Ru 5.3343 5.3343 1.7781